1.
# SrTl2Cu

A relaxed structure of SrTl2Cu (PBE-GGA, Alexandria).

Lattice parameters (Å, degrees): 5.3035 5.3035 5.3035 119.07 119.07 91.62
With the nearest neighbours (Å) after each atom.
Atoms (fractional coordinates):
Sr 0.0000 0.0000 0.0000  4 Tl 3.26, 4 Cu 3.26
Tl 0.2500 0.7500 0.5000  4 Tl 3.26, 4 Sr 3.26
Tl 0.5000 0.5000 0.0000  4 Tl 3.26, 4 Cu 3.26
Cu 0.7500 0.2500 0.5000  4 Tl 3.26, 4 Sr 3.26

Properties
density of states at the Fermi level: 0.521 states/eV per atom
space group: I-4m2
ΔH_f (0 K): -21 meV/atom

2.
# Th8Os3PdS4

A relaxed structure of Th8Os3PdS4 (PBE-GGA, Alexandria).

Lattice parameters (Å, degrees): 8.5568 8.5568 8.5568 57.07 57.07 57.07
With the nearest neighbours (Å) after each atom.
Atoms (fractional coordinates):
Th 0.2331 0.7477 0.7477  2 Os 2.84, 1 Pd 2.93, 3 S 3.00-3.08
Th 0.2422 0.2422 0.2422  3 Os 2.86, 3 S 3.06
Th 0.2523 0.2523 0.7669  2 Os 2.84, 1 Pd 2.93, 3 S 3.00-3.08
Th 0.2523 0.7669 0.2523  2 Os 2.84, 1 Pd 2.93, 3 S 3.00-3.08
Th 0.7477 0.2331 0.7477  2 Os 2.84, 1 Pd 2.93, 3 S 3.00-3.08
Th 0.7477 0.7477 0.2331  2 Os 2.84, 1 Pd 2.93, 3 S 3.00-3.08
Th 0.7578 0.7578 0.7578  3 Os 2.86, 3 S 3.06
Th 0.7669 0.2523 0.2523  2 Os 2.84, 1 Pd 2.93, 3 S 3.00-3.08
Os 0.0000 0.0000 0.5000  6 Th 2.84-2.86
Os 0.0000 0.5000 0.0000  6 Th 2.84-2.86
Os 0.5000 0.0000 0.0000  6 Th 2.84-2.86
Pd 0.5000 0.5000 0.5000  6 Th 2.93
S 0.0000 0.0000 0.0000  6 Th 3.00
S 0.0000 0.5000 0.5000  6 Th 3.06-3.08
S 0.5000 0.0000 0.5000  6 Th 3.06-3.08
S 0.5000 0.5000 0.0000  6 Th 3.06-3.08

Properties
density of states at the Fermi level: 0.721 states/eV per atom
space group: R-3m
raw formation energy: -1093 meV per atom